1.
The following is a PBE calculation of crystalline Si5Ir4 at its relaxed geometry, from the Alexandria database.

```
Si5Ir4
1.0
7.415 0.000 0.000
-3.707 6.421 0.000
0.000 0.000 5.295
Si Ir
10 8
Direct
0.000 0.716 0.250
0.284 0.284 0.250
0.716 0.000 0.250
0.000 0.284 0.750
0.716 0.716 0.750
0.284 0.000 0.750
0.667 0.333 0.000
0.333 0.667 0.500
0.333 0.667 0.000
0.667 0.333 0.500
0.000 0.000 0.000
0.000 0.000 0.500
0.000 0.398 0.250
0.602 0.602 0.250
0.398 0.000 0.250
0.000 0.602 0.750
0.398 0.398 0.750
0.602 0.000 0.750
```

formation energy from raw total energies = -0.132 eV/atom
N(E_F) = 9.6 states/eV/cell

2.
The following is a PBE calculation of crystalline Si3Ir at its relaxed geometry, from the Alexandria database.

```
Si3Ir
1.0
-0.184 -2.751 -3.110
1.932 -3.456 -1.264
-3.045 -4.524 1.763
Ir Si
1 3
Direct
0.000 0.000 0.000
0.500 0.500 0.500
0.764 0.764 0.791
0.236 0.236 0.209
```

formation energy from raw total energies = 0.010 eV/atom
N(E_F) = 1.0 states/eV/cell

3.
The following is a PBE calculation of crystalline SiIr3 at its relaxed geometry, from the Alexandria database.

```
SiIr3
1.0
-0.974 2.877 4.739
0.911 -4.620 2.991
7.008 1.662 0.431
Ir Si
12 4
Direct
0.083 0.009 0.750
0.583 0.491 0.250
0.417 0.509 0.750
0.917 0.991 0.250
0.731 0.232 0.948
0.231 0.268 0.052
0.769 0.732 0.552
0.269 0.768 0.448
0.269 0.768 0.052
0.769 0.732 0.948
0.231 0.268 0.448
0.731 0.232 0.552
0.498 0.964 0.750
0.998 0.536 0.250
0.002 0.464 0.750
0.502 0.036 0.250
```

formation energy from raw total energies = -0.298 eV/atom
N(E_F) = 10.5 states/eV/cell

4.
The following is a PBE calculation of crystalline Si2Ir at its relaxed geometry, from the Alexandria database.

```
Si2Ir
1.0
-0.214 -2.815 -0.181
0.309 -0.393 5.751
-5.756 0.416 0.338
Si Ir
4 2
Direct
0.000 0.175 0.613
0.000 0.825 0.387
0.500 0.675 0.887
0.500 0.325 0.113
0.000 0.000 0.000
0.500 0.500 0.500
```

formation energy from raw total energies = -0.409 eV/atom
N(E_F) = 1.7 states/eV/cell

5.
The following is a PBE calculation of crystalline SiIr3 at its relaxed geometry, from the Alexandria database.

```
SiIr3
1.0
2.787 -0.003 0.000
-1.419 2.399 0.000
0.000 0.000 8.701
Ir Si
3 1
Direct
0.000 0.000 0.027
0.500 0.500 0.750
0.000 0.000 0.473
0.500 0.500 0.250
```

formation energy from raw total energies = 0.076 eV/atom
N(E_F) = 4.4 states/eV/cell

6.
The following is a PBE calculation of crystalline SiIr2 at its relaxed geometry, from the Alexandria database.

```
SiIr2
1.0
-1.078 -3.526 -1.600
4.521 -0.109 -2.807
3.510 -3.702 5.797
Si Ir
4 8
Direct
0.250 0.794 0.399
0.750 0.206 0.601
0.250 0.294 0.101
0.750 0.706 0.899
0.750 0.023 0.300
0.250 0.977 0.700
0.750 0.523 0.200
0.250 0.477 0.800
0.250 0.340 0.425
0.750 0.660 0.575
0.250 0.840 0.075
0.750 0.160 0.925
```

formation energy from raw total energies = -0.473 eV/atom
N(E_F) = 5.7 states/eV/cell